Record 1
# ZrAlTc (PBE, optimized geometry)
data_ZrAlTc
_chemical_formula_sum 'Zr4 Al4 Tc4'
_space_group_name_H-M_alt 'C 1 2/m 1'
_space_group_IT_number 12
_space_group_name_Hall '-C 2y'
_cell_length_a 10.059
_cell_length_b 3.420
_cell_length_c 6.349
_cell_angle_alpha 90.00
_cell_angle_beta 106.96
_cell_angle_gamma 90.00
loop_
_atom_site_label
_atom_site_type_symbol
_atom_site_fract_x
_atom_site_fract_y
_atom_site_fract_z
_atom_site_occupancy
Zr1 Zr 0.150 0.000 0.319 1
Al1 Al 0.150 0.000 0.821 1
Tc1 Tc 0.000 0.500 0.000 1
Tc2 Tc 0.000 0.500 0.500 1
# energy above the lowest structure with this stoichiometry = 11.4 kJ/mol of atoms

Record 2
Material: LiNpPd2
Method: DFT, PBE
State: optimized geometry

Structure (CIF):
```
data_LiNpPd2
_chemical_formula_sum 'Li1 Np1 Pd2'
_space_group_name_H-M_alt 'P 4/m m m'
_space_group_IT_number 123
_space_group_name_Hall '-P 4 2'
_cell_length_a 3.149
_cell_length_b 3.149
_cell_length_c 6.898
_cell_angle_alpha 90.00
_cell_angle_beta 90.00
_cell_angle_gamma 90.00
loop_
_atom_site_label
_atom_site_type_symbol
_atom_site_fract_x
_atom_site_fract_y
_atom_site_fract_z
_atom_site_occupancy
Li1 Li 0.000 0.000 0.000 1
Np1 Np 0.000 0.000 0.500 1
Pd1 Pd 0.500 0.500 0.210 1
```

Record 3
Material: Sr2Zn5In
Method: DFT, PBE
State: optimized geometry

Structure (CIF):
```
data_Sr2Zn5In
_chemical_formula_sum 'Sr8 Zn20 In4'
_space_group_name_H-M_alt 'C m c m'
_space_group_IT_number 63
_space_group_name_Hall '-C 2c 2'
_cell_length_a 4.615
_cell_length_b 17.165
_cell_length_c 9.427
_cell_angle_alpha 90.00
_cell_angle_beta 90.00
_cell_angle_gamma 90.00
loop_
_atom_site_label
_atom_site_type_symbol
_atom_site_fract_x
_atom_site_fract_y
_atom_site_fract_z
_atom_site_occupancy
Sr1 Sr 0.000 0.000 0.000 1
Sr2 Sr 0.000 0.206 0.250 1
Zn1 Zn 0.000 0.184 0.610 1
Zn2 Zn 0.000 0.344 0.511 1
Zn3 Zn 0.000 0.397 0.250 1
In1 In 0.000 0.441 0.750 1
```

Record 4
Material: AlGaNi
Method: DFT, PBE
State: optimized geometry

Structure (CIF):
```
data_AlGaNi
_chemical_formula_sum 'Al4 Ga4 Ni4'
_space_group_name_H-M_alt 'P n m a'
_space_group_IT_number 62
_space_group_name_Hall '-P 2ac 2n'
_cell_length_a 7.841
_cell_length_b 4.041
_cell_length_c 5.727
_cell_angle_alpha 90.00
_cell_angle_beta 90.00
_cell_angle_gamma 90.00
loop_
_atom_site_label
_atom_site_type_symbol
_atom_site_fract_x
_atom_site_fract_y
_atom_site_fract_z
_atom_site_occupancy
Al1 Al 0.135 0.250 0.247 1
Ga1 Ga 0.129 0.250 0.763 1
Ni1 Ni 0.114 0.750 0.498 1
```

Number 1: ΔE_f -0.390 eV/atom, final energy -7.942 eV per atom. Number 2: ΔE_f -0.283 eV/atom, final energy -6.593 eV per atom. Number 3: ΔE_f -0.245 eV/atom, final energy -1.804 eV per atom. Number 4: ΔE_f -0.399 eV/atom, final energy -4.583 eV per atom.